1.
Nb2C3 | GGA-PBE | relaxed

Cell and atoms, written as CIF:
```
data_Nb2C3
_symmetry_space_group_name_H-M 'C m c m'
_symmetry_Int_Tables_number 63
_symmetry_space_group_name_Hall '-C 2c 2'
_cell_length_a 3.047
_cell_length_b 23.281
_cell_length_c 3.099
_cell_angle_alpha 90.00
_cell_angle_beta 90.00
_cell_angle_gamma 90.00
loop_
_atom_site_label
_atom_site_type_symbol
_atom_site_fract_x
_atom_site_fract_y
_atom_site_fract_z
Nb1 Nb 0.000 0.070 0.250
Nb2 Nb 0.000 0.188 0.750
C1 C 0.000 0.290 0.750
C2 C 0.000 0.385 0.250
C3 C 0.000 0.448 0.250
```

## Properties
Its crystal system is orthorhombic. As for the total moment: 0.001 μB per atom. Its electronic total energy is -9.239 eV/atom.

=====

2.
TlFe2Pd | GGA-PBE | relaxed

Cell and atoms, written as CIF:
```
data_TlFe2Pd
_symmetry_space_group_name_H-M 'F -4 3 m'
_symmetry_Int_Tables_number 216
_symmetry_space_group_name_Hall 'F -4 2 3'
_cell_length_a 6.278
_cell_length_b 6.278
_cell_length_c 6.278
_cell_angle_alpha 90.00
_cell_angle_beta 90.00
_cell_angle_gamma 90.00
loop_
_atom_site_label
_atom_site_type_symbol
_atom_site_fract_x
_atom_site_fract_y
_atom_site_fract_z
Tl1 Tl 0.000 0.000 0.000
Fe1 Fe 0.000 0.000 0.500
Fe2 Fe 0.250 0.250 0.750
Pd1 Pd 0.250 0.250 0.250
```

## Properties
Its crystal system is cubic. As for the total moment: 1.339 μB per atom. Its electronic total energy is -5.796 eV/atom.

=====

3.
Dy3Mg3CdGaHg | GGA-PBE | relaxed

Cell and atoms, written as CIF:
```
data_Dy3Mg3CdGaHg
_symmetry_space_group_name_H-M 'P -6'
_symmetry_Int_Tables_number 174
_symmetry_space_group_name_Hall 'P -6'
_cell_length_a 7.4446
_cell_length_b 7.4446
_cell_length_c 4.5191
_cell_angle_alpha 90.00
_cell_angle_beta 90.00
_cell_angle_gamma 120.00
loop_
_atom_site_label
_atom_site_type_symbol
_atom_site_fract_x
_atom_site_fract_y
_atom_site_fract_z
Dy1 Dy 0.0984 0.7560 0.0000
Mg1 Mg 0.4219 0.0850 0.5000
Cd1 Cd 0.6667 0.3333 0.0000
Ga1 Ga 0.3333 0.6667 0.5000
Hg1 Hg 0.0000 0.0000 0.5000
```

## Properties
Its crystal system is hexagonal. As for the total moment: 0.002 μB per atom. Its electronic total energy is -2.911 eV/atom.

=====

4.
ZnO | GGA-PBE | relaxed

Cell and atoms, written as CIF:
```
data_ZnO
_symmetry_space_group_name_H-M 'C m c m'
_symmetry_Int_Tables_number 63
_symmetry_space_group_name_Hall '-C 2c 2'
_cell_length_a 3.270
_cell_length_b 5.774
_cell_length_c 16.803
_cell_angle_alpha 90.00
_cell_angle_beta 90.00
_cell_angle_gamma 90.00
loop_
_atom_site_label
_atom_site_type_symbol
_atom_site_fract_x
_atom_site_fract_y
_atom_site_fract_z
Zn1 Zn 0.000 0.144 0.250
Zn2 Zn 0.000 0.165 0.599
O1 O 0.000 0.185 0.750
O2 O 0.000 0.495 0.597
```

## Properties
Its crystal system is orthorhombic. Its electronic total energy is -4.336 eV/atom.

=====

5.
NpCoIr | GGA-PBE | relaxed

Cell and atoms, written as CIF:
```
data_NpCoIr
_symmetry_space_group_name_H-M 'F -4 3 m'
_symmetry_Int_Tables_number 216
_symmetry_space_group_name_Hall 'F -4 2 3'
_cell_length_a 5.994
_cell_length_b 5.994
_cell_length_c 5.994
_cell_angle_alpha 90.00
_cell_angle_beta 90.00
_cell_angle_gamma 90.00
loop_
_atom_site_label
_atom_site_type_symbol
_atom_site_fract_x
_atom_site_fract_y
_atom_site_fract_z
Np1 Np 0.000 0.000 0.000
Co1 Co 0.250 0.250 0.750
Ir1 Ir 0.000 0.000 0.500
```

## Properties
Its crystal system is cubic. As for the total moment: 0.633 μB per atom. Its electronic total energy is -9.574 eV/atom.

=====

6.
PaGeAsO | GGA-PBE | relaxed

Cell and atoms, written as CIF:
```
data_PaGeAsO
_symmetry_space_group_name_H-M 'P m c 21'
_symmetry_Int_Tables_number 26
_symmetry_space_group_name_Hall 'P 2c -2'
_cell_length_a 4.277
_cell_length_b 6.121
_cell_length_c 6.189
_cell_angle_alpha 90.00
_cell_angle_beta 90.00
_cell_angle_gamma 90.00
loop_
_atom_site_label
_atom_site_type_symbol
_atom_site_fract_x
_atom_site_fract_y
_atom_site_fract_z
Pa1 Pa 0.000 0.238 0.000
Ge1 Ge 0.500 0.387 0.378
As1 As 0.500 0.087 0.679
O1 O 0.000 0.437 0.313
```

## Properties
Its crystal system is orthorhombic. As for the total moment: 0.255 μB per atom. The calculation puts the energy above the most stable polymorph in this dataset at 1.027 eV/f.u.

=====

7.
Zr3TeOs5 | GGA-PBE | relaxed

Cell and atoms, written as CIF:
```
data_Zr3TeOs5
_symmetry_space_group_name_H-M 'P -6 2 m'
_symmetry_Int_Tables_number 189
_symmetry_space_group_name_Hall 'P -6 -2'
_cell_length_a 6.7878
_cell_length_b 6.7878
_cell_length_c 4.1081
_cell_angle_alpha 90.00
_cell_angle_beta 90.00
_cell_angle_gamma 120.00
loop_
_atom_site_label
_atom_site_type_symbol
_atom_site_fract_x
_atom_site_fract_y
_atom_site_fract_z
Zr1 Zr 0.0000 0.5682 0.0000
Te1 Te 0.0000 0.0000 0.0000
Os1 Os 0.0000 0.2634 0.5000
Os2 Os 0.3333 0.6667 0.5000
```

## Properties
Its crystal system is hexagonal. As for the total moment: 0.001 μB per atom. Its electronic total energy is -9.531 eV/atom.

=====

8.
DyScTc | GGA-PBE | relaxed

Cell and atoms, written as CIF:
```
data_DyScTc
_symmetry_space_group_name_H-M 'F -4 3 m'
_symmetry_Int_Tables_number 216
_symmetry_space_group_name_Hall 'F -4 2 3'
_cell_length_a 6.513
_cell_length_b 6.513
_cell_length_c 6.513
_cell_angle_alpha 90.00
_cell_angle_beta 90.00
_cell_angle_gamma 90.00
loop_
_atom_site_label
_atom_site_type_symbol
_atom_site_fract_x
_atom_site_fract_y
_atom_site_fract_z
Dy1 Dy 0.000 0.000 0.000
Sc1 Sc 0.250 0.250 0.250
Tc1 Tc 0.000 0.000 0.500
```

## Properties
Its crystal system is cubic. As for the total moment: 0.002 μB per atom. The calculation puts the energy above the most stable polymorph in this dataset at 0.000 eV/f.u.

=====

9.
CsLuNiTe3 | GGA-PBE | relaxed

Cell and atoms, written as CIF:
```
data_CsLuNiTe3
_symmetry_space_group_name_H-M 'P n m a'
_symmetry_Int_Tables_number 62
_symmetry_space_group_name_Hall '-P 2ac 2n'
_cell_length_a 17.582
_cell_length_b 4.259
_cell_length_c 11.230
_cell_angle_alpha 90.00
_cell_angle_beta 90.00
_cell_angle_gamma 90.00
loop_
_atom_site_label
_atom_site_type_symbol
_atom_site_fract_x
_atom_site_fract_y
_atom_site_fract_z
Cs1 Cs 0.233 0.250 0.016
Lu1 Lu 0.021 0.250 0.344
Ni1 Ni 0.013 0.750 0.112
Te1 Te 0.063 0.750 0.900
Te2 Te 0.093 0.250 0.585
Te3 Te 0.127 0.750 0.250
```

## Properties
Its crystal system is orthorhombic. As for the total moment: 0.000 μB per atom. The calculation puts the energy above the most stable polymorph in this dataset at 0.000 eV/f.u.

=====

10.
NbCl2F5 | GGA-PBE | relaxed

Cell and atoms, written as CIF:
```
data_NbCl2F5
_symmetry_space_group_name_H-M 'P 1'
_symmetry_Int_Tables_number 1
_symmetry_space_group_name_Hall 'P 1'
_cell_length_a 4.522
_cell_length_b 4.655
_cell_length_c 6.095
_cell_angle_alpha 77.26
_cell_angle_beta 81.15
_cell_angle_gamma 69.50
loop_
_atom_site_label
_atom_site_type_symbol
_atom_site_fract_x
_atom_site_fract_y
_atom_site_fract_z
Nb1 Nb 0.000 0.000 0.000
Cl1 Cl 0.515 0.433 0.512
Cl2 Cl 0.782 0.705 0.447
F1 F 0.096 0.072 0.272
F2 F 0.170 0.010 0.697
F3 F 0.303 0.601 0.060
F4 F 0.583 0.019 0.973
F5 F 0.905 0.441 0.916
```

## Properties
Its crystal system is triclinic. As for the total moment: 0.000 μB per atom. Its electronic total energy is -4.974 eV/atom.

=====

11.
NpNi | GGA-PBE | relaxed

Cell and atoms, written as CIF:
```
data_NpNi
_symmetry_space_group_name_H-M 'F -4 3 m'
_symmetry_Int_Tables_number 216
_symmetry_space_group_name_Hall 'F -4 2 3'
_cell_length_a 5.892
_cell_length_b 5.892
_cell_length_c 5.892
_cell_angle_alpha 90.00
_cell_angle_beta 90.00
_cell_angle_gamma 90.00
loop_
_atom_site_label
_atom_site_type_symbol
_atom_site_fract_x
_atom_site_fract_y
_atom_site_fract_z
Np1 Np 0.000 0.000 0.000
Ni1 Ni 0.250 0.250 0.250
```

## Properties
Its crystal system is cubic. As for the total moment: 2.214 μB per atom. Its electronic total energy is -8.146 eV/atom.

=====

12.
SnHg2S2Br2 | GGA-PBE | relaxed

Cell and atoms, written as CIF:
```
data_SnHg2S2Br2
_symmetry_space_group_name_H-M 'P 1 21/c 1'
_symmetry_Int_Tables_number 14
_symmetry_space_group_name_Hall '-P 2ybc'
_cell_length_a 9.695
_cell_length_b 10.210
_cell_length_c 12.404
_cell_angle_alpha 90.00
_cell_angle_beta 107.00
_cell_angle_gamma 90.00
loop_
_atom_site_label
_atom_site_type_symbol
_atom_site_fract_x
_atom_site_fract_y
_atom_site_fract_z
Sn1 Sn 0.159 0.149 0.001
Hg1 Hg 0.290 0.081 0.693
Hg2 Hg 0.469 0.149 0.384
S1 S 0.242 0.242 0.817
S2 S 0.303 0.551 0.039
Br1 Br 0.061 0.556 0.368
Br2 Br 0.412 0.044 0.120
```

## Properties
Its crystal system is monoclinic. The calculation puts the energy above the most stable polymorph in this dataset at 0.351 eV/f.u.

=====

Which formula does entry 2 have? TlFe2Pd